(1)
A PBEsol-optimized structure of CuSiAs2. Source: Alexandria, functional meta-GGA SCAN.

a b c (Å): 5.568 5.568 5.568
angles (deg): 142.01 142.01 54.82
Fractional coordinates of all 4 atoms:
1 Cu 0.000 0.000 0.000
2 Si 0.750 0.250 0.500
3 As 0.250 0.750 0.500
4 As 0.500 0.500 0.000

Results
Crystal system ... tetragonal
Symmetry ... I-4m2, No. 119
Energy relative to the lowest polymorph listed for this composition ... 545 meV/atom
ΔE_f (raw) ... 198.9 kJ/mol of formula units

***

(2)
A PBEsol-optimized structure of CuSiAs2. Source: Alexandria, functional meta-GGA SCAN.

a b c (Å): 6.591 6.591 6.591
angles (deg): 130.63 130.63 72.41
Fractional coordinates of all 8 atoms:
1 Cu 0.000 0.000 0.000
2 Cu 0.750 0.250 0.500
3 Si 0.250 0.750 0.500
4 Si 0.500 0.500 0.000
5 As 0.118 0.625 0.993
6 As 0.375 0.368 0.493
7 As 0.632 0.125 0.007
8 As 0.875 0.882 0.507

Results
Crystal system ... tetragonal
Symmetry ... I-42d, No. 122
Energy relative to the lowest polymorph listed for this composition ... 0 meV/atom
ΔE_f (raw) ... -11.4 kJ/mol of formula units

***

(3)
A PBEsol-optimized structure of CuSi2TeAs. Source: Alexandria, functional meta-GGA SCAN.

a b c (Å): 4.396 4.396 5.326
angles (deg): 90.00 90.00 90.00
Fractional coordinates of all 5 atoms:
1 Cu 0.000 0.000 0.000
2 Si 0.000 0.500 0.000
3 Si 0.500 0.000 0.000
4 Te 0.000 0.000 0.500
5 As 0.500 0.500 0.500

Results
Crystal system ... tetragonal
Symmetry ... P4/mmm, No. 123
ΔE_f (raw) ... 365.7 kJ/mol of formula units

***

(4)
A PBEsol-optimized structure of TiCuSiAs. Source: Alexandria, functional meta-GGA SCAN.

a b c (Å): 3.529 3.529 9.106
angles (deg): 90.00 90.00 90.00
Fractional coordinates of all 8 atoms:
1 Ti 0.250 0.250 0.219
2 Ti 0.750 0.750 0.781
3 Cu 0.250 0.750 0.500
4 Cu 0.750 0.250 0.500
5 Si 0.250 0.750 0.000
6 Si 0.750 0.250 0.000
7 As 0.250 0.250 0.692
8 As 0.750 0.750 0.308

Results
Crystal system ... tetragonal
Symmetry ... P4/nmm, No. 129
ΔE_f (raw) ... -197.1 kJ/mol of formula units

***

(5)
A PBEsol-optimized structure of ZrCuSiAs. Source: Alexandria, functional meta-GGA SCAN.

a b c (Å): 3.638 3.638 9.510
angles (deg): 90.00 90.00 90.00
Fractional coordinates of all 8 atoms:
1 Zr 0.250 0.250 0.224
2 Zr 0.750 0.750 0.776
3 Cu 0.250 0.750 0.500
4 Cu 0.750 0.250 0.500
5 Si 0.250 0.750 0.000
6 Si 0.750 0.250 0.000
7 As 0.250 0.250 0.679
8 As 0.750 0.750 0.321

Results
Crystal system ... tetragonal
Symmetry ... P4/nmm, No. 129
ΔE_f (raw) ... -258.3 kJ/mol of formula units

***

(6)
A PBEsol-optimized structure of Sm2Cu3As3. Source: Alexandria, functional meta-GGA SCAN.

a b c (Å): 13.230 4.001 10.958
angles (deg): 90.00 90.00 90.00
Fractional coordinates of all 32 atoms:
1 Sm 0.003 0.250 0.158
2 Sm 0.203 0.750 0.570
3 Sm 0.297 0.250 0.070
4 Sm 0.497 0.750 0.658
5 Sm 0.503 0.250 0.342
6 Sm 0.703 0.750 0.930
7 Sm 0.797 0.250 0.430
8 Sm 0.997 0.750 0.842
9 Cu 0.015 0.250 0.608
10 Cu 0.165 0.750 0.277
11 Cu 0.226 0.750 0.858
12 Cu 0.274 0.250 0.358
13 Cu 0.335 0.250 0.777
14 Cu 0.485 0.750 0.108
15 Cu 0.515 0.250 0.892
16 Cu 0.665 0.750 0.223
17 Cu 0.726 0.750 0.642
18 Cu 0.774 0.250 0.142
19 Cu 0.835 0.250 0.723
20 Cu 0.985 0.750 0.392
21 As 0.094 0.250 0.401
22 As 0.134 0.750 0.057
23 As 0.147 0.250 0.767
24 As 0.353 0.750 0.267
25 As 0.366 0.250 0.557
26 As 0.406 0.750 0.901
27 As 0.594 0.250 0.099
28 As 0.634 0.750 0.443
29 As 0.647 0.250 0.733
30 As 0.853 0.750 0.233
31 As 0.866 0.250 0.943
32 As 0.906 0.750 0.599

Results
Crystal system ... orthorhombic
Symmetry ... Pnma, No. 62
DFT formation energy ... -882 meV per atom

***

(7)
A PBEsol-optimized structure of SmZnCuAs2. Source: Alexandria, functional meta-GGA SCAN.

a b c (Å): 4.096 4.096 6.701
angles (deg): 90.00 90.00 120.00
Fractional coordinates of all 5 atoms:
1 Sm 0.000 0.000 0.000
2 Zn 0.333 0.667 0.613
3 Cu 0.667 0.333 0.340
4 As 0.333 0.667 0.245
5 As 0.667 0.333 0.727

Results
Crystal system ... trigonal
Symmetry ... P3m1, No. 156
DFT formation energy ... -767 meV per atom

***

(8)
A PBEsol-optimized structure of Cu2SnAs2. Source: Alexandria, functional meta-GGA SCAN.

a b c (Å): 6.233 6.233 6.233
angles (deg): 142.93 142.93 53.43
Fractional coordinates of all 5 atoms:
1 Cu 0.108 0.108 0.000
2 Cu 0.892 0.892 0.000
3 Sn 0.500 0.500 0.000
4 As 0.250 0.750 0.500
5 As 0.750 0.250 0.500

Results
Crystal system ... tetragonal
Symmetry ... I4/mmm, No. 139
DFT formation energy ... 197 meV per atom

***

(9)
A PBEsol-optimized structure of CuSn2As2. Source: Alexandria, functional meta-GGA SCAN.

a b c (Å): 6.181 6.181 5.657
angles (deg): 90.00 90.00 90.00
Fractional coordinates of all 10 atoms:
1 Cu 0.000 0.000 0.000
2 Cu 0.500 0.500 0.000
3 Sn 0.207 0.293 0.500
4 Sn 0.293 0.793 0.500
5 Sn 0.707 0.207 0.500
6 Sn 0.793 0.707 0.500
7 As 0.141 0.359 0.000
8 As 0.359 0.859 0.000
9 As 0.641 0.141 0.000
10 As 0.859 0.641 0.000

Results
Crystal system ... tetragonal
Symmetry ... P4/mbm, No. 127
Energy relative to the lowest polymorph listed for this composition ... 0 meV/atom
DFT formation energy ... 57 meV per atom

***

(10)
A PBEsol-optimized structure of CuSnAs2. Source: Alexandria, functional meta-GGA SCAN.

a b c (Å): 7.037 7.037 7.037
angles (deg): 132.10 132.10 70.07
Fractional coordinates of all 8 atoms:
1 Cu 0.000 0.000 0.000
2 Cu 0.750 0.250 0.500
3 Sn 0.250 0.750 0.500
4 Sn 0.500 0.500 0.000
5 As 0.079 0.625 0.954
6 As 0.375 0.329 0.454
7 As 0.671 0.125 0.046
8 As 0.875 0.921 0.546

Results
Crystal system ... tetragonal
Symmetry ... I-42d, No. 122
DFT formation energy ... -2 meV per atom

***

(11)
A PBEsol-optimized structure of CuSn2As2. Source: Alexandria, functional meta-GGA SCAN.

a b c (Å): 8.825 8.825 8.825
angles (deg): 156.62 156.62 33.30
Fractional coordinates of all 5 atoms:
1 Cu 0.000 0.000 0.000
2 Sn 0.409 0.409 0.000
3 Sn 0.591 0.591 0.000
4 As 0.250 0.750 0.500
5 As 0.750 0.250 0.500

Results
Crystal system ... tetragonal
Symmetry ... I4/mmm, No. 139
Energy relative to the lowest polymorph listed for this composition ... 327 meV/atom
DFT formation energy ... 384 meV per atom

***

(12)
A PBEsol-optimized structure of CuSn3As. Source: Alexandria, functional meta-GGA SCAN.

a b c (Å): 5.231 5.231 5.231
angles (deg): 90.00 90.00 90.00
Fractional coordinates of all 5 atoms:
1 Cu 0.000 0.000 0.000
2 Sn 0.000 0.500 0.500
3 Sn 0.500 0.000 0.500
4 Sn 0.500 0.500 0.000
5 As 0.500 0.500 0.500

Results
Crystal system ... cubic
Symmetry ... Pm-3m, No. 221
DFT formation energy ... 987 meV per atom

***

(13)
A PBEsol-optimized structure of SrCuAs. Source: Alexandria, functional meta-GGA SCAN.

a b c (Å): 4.207 4.207 8.483
angles (deg): 90.00 90.00 120.00
Fractional coordinates of all 6 atoms:
1 Sr 0.000 0.000 0.000
2 Sr 0.000 0.000 0.500
3 Cu 0.333 0.667 0.250
4 Cu 0.667 0.333 0.750
5 As 0.333 0.667 0.750
6 As 0.667 0.333 0.250

Results
Crystal system ... hexagonal
Symmetry ... P6_3/mmc, No. 194
DFT formation energy ... -905 meV per atom

***

(14)
A PBEsol-optimized structure of SrCuAs. Source: Alexandria, functional meta-GGA SCAN.

a b c (Å): 4.170 4.170 4.347
angles (deg): 90.00 90.00 120.00
Fractional coordinates of all 3 atoms:
1 Sr 0.000 0.000 0.000
2 Cu 0.667 0.333 0.500
3 As 0.333 0.667 0.500

Results
Crystal system ... hexagonal
Symmetry ... P-6m2, No. 187
DFT formation energy ... -882 meV per atom

***

(15)
A PBEsol-optimized structure of SrCu4As2. Source: Alexandria, functional meta-GGA SCAN.

a b c (Å): 8.133 8.133 8.133
angles (deg): 29.36 29.36 29.36
Fractional coordinates of all 7 atoms:
1 Sr 0.000 0.000 0.000
2 Cu 0.144 0.144 0.144
3 Cu 0.441 0.441 0.441
4 Cu 0.559 0.559 0.559
5 Cu 0.856 0.856 0.856
6 As 0.248 0.248 0.248
7 As 0.752 0.752 0.752

Results
Crystal system ... trigonal
Symmetry ... R-3m, No. 166
DFT formation energy ... -406 meV per atom

***

(16)
A PBEsol-optimized structure of Ta2CuAs. Source: Alexandria, functional meta-GGA SCAN.

a b c (Å): 4.652 4.652 4.652
angles (deg): 127.59 127.59 77.30
Fractional coordinates of all 4 atoms:
1 Ta 0.250 0.750 0.500
2 Ta 0.750 0.250 0.500
3 Cu 0.000 0.000 0.000
4 As 0.500 0.500 0.000

Results
Crystal system ... tetragonal
Symmetry ... I4/mmm, No. 139
DFT formation energy ... -16 meV per atom

***

(17)
A PBEsol-optimized structure of Ta2CuAs. Source: Alexandria, functional meta-GGA SCAN.

a b c (Å): 4.512 4.512 3.053
angles (deg): 90.11 90.11 100.45
Fractional coordinates of all 4 atoms:
1 Ta 0.000 0.500 0.000
2 Ta 0.500 0.000 0.000
3 Cu 0.000 0.000 0.500
4 As 0.500 0.500 0.500

Results
Crystal system ... monoclinic
Symmetry ... C2/m, No. 12
DFT formation energy ... -9 meV per atom

***

(18)
A PBEsol-optimized structure of Ta2CuAs. Source: Alexandria, functional meta-GGA SCAN.

a b c (Å): 4.476 4.476 4.476
angles (deg): 60.00 60.00 60.00
Fractional coordinates of all 4 atoms:
1 Ta 0.000 0.000 0.000
2 Ta 0.250 0.250 0.250
3 Cu 0.500 0.500 0.500
4 As 0.750 0.750 0.750

Results
Crystal system ... cubic
Symmetry ... F-43m, No. 216
DFT formation energy ... 421 meV per atom

***

(19)
A PBEsol-optimized structure of TbZnCuAs2. Source: Alexandria, functional meta-GGA SCAN.

a b c (Å): 4.066 4.066 6.635
angles (deg): 90.00 90.00 120.00
Fractional coordinates of all 5 atoms:
1 Tb 0.000 0.000 0.000
2 Zn 0.333 0.667 0.611
3 Cu 0.667 0.333 0.341
4 As 0.333 0.667 0.239
5 As 0.667 0.333 0.732

Results
Crystal system ... trigonal
Symmetry ... P3m1, No. 156
DFT formation energy ... -758 meV per atom

***

(20)
A PBEsol-optimized structure of CuTcAs. Source: Alexandria, functional meta-GGA SCAN.

a b c (Å): 6.600 6.374 2.760
angles (deg): 82.34 73.17 24.49
Fractional coordinates of all 3 atoms:
1 Cu 0.000 0.000 0.000
2 Tc 0.333 0.333 0.667
3 As 0.675 0.675 0.325

Results
Crystal system ... orthorhombic
Symmetry ... Fmm2, No. 42
DFT formation energy ... 453 meV per atom

***

(21)
A PBEsol-optimized structure of CuTc2As. Source: Alexandria, functional meta-GGA SCAN.

a b c (Å): 2.988 2.988 5.988
angles (deg): 90.00 90.00 90.00
Fractional coordinates of all 4 atoms:
1 Cu 0.000 0.000 0.000
2 Tc 0.500 0.500 0.261
3 Tc 0.500 0.500 0.739
4 As 0.000 0.000 0.500

Results
Crystal system ... tetragonal
Symmetry ... P4/mmm, No. 123
DFT formation energy ... 176 meV per atom

***

(22)
A PBEsol-optimized structure of Y2CuTcAs. Source: Alexandria, functional meta-GGA SCAN.

a b c (Å): 5.266 5.266 4.593
angles (deg): 90.00 90.00 90.00
Fractional coordinates of all 5 atoms:
1 Y 0.000 0.500 0.000
2 Y 0.500 0.000 0.000
3 Cu 0.000 0.000 0.500
4 Tc 0.500 0.500 0.000
5 As 0.500 0.500 0.500

Results
Crystal system ... tetragonal
Symmetry ... P4/mmm, No. 123
DFT formation energy ... 65 meV per atom

***

(23)
A PBEsol-optimized structure of CuTeAs3. Source: Alexandria, functional meta-GGA SCAN.

a b c (Å): 4.689 4.689 4.689
angles (deg): 90.00 90.00 90.00
Fractional coordinates of all 5 atoms:
1 Cu 0.000 0.000 0.000
2 Te 0.500 0.500 0.500
3 As 0.000 0.000 0.500
4 As 0.000 0.500 0.000
5 As 0.500 0.000 0.000

Results
Crystal system ... cubic
Symmetry ... Pm-3m, No. 221
ΔE_f (raw) ... 290.1 kJ/mol of formula units

***

(24)
A PBEsol-optimized structure of TlCuAs2. Source: Alexandria, functional meta-GGA SCAN.

a b c (Å): 5.819 5.819 5.819
angles (deg): 150.34 127.26 61.67
Fractional coordinates of all 4 atoms:
1 Tl 0.000 0.000 0.000
2 Cu 0.500 0.500 0.000
3 As 0.300 0.800 0.500
4 As 0.700 0.200 0.500

Results
Crystal system ... orthorhombic
Symmetry ... Immm, No. 71
Energy relative to the lowest polymorph listed for this composition ... 258 meV/atom
DFT formation energy ... 285 meV per atom

***

(25)
A PBEsol-optimized structure of TlCuAs2. Source: Alexandria, functional meta-GGA SCAN.

a b c (Å): 4.334 3.844 5.295
angles (deg): 90.00 106.83 90.00
Fractional coordinates of all 4 atoms:
1 Tl 0.000 0.000 0.000
2 Cu 0.500 0.000 0.500
3 As 0.274 0.500 0.655
4 As 0.726 0.500 0.345

Results
Crystal system ... monoclinic
Symmetry ... P2/m, No. 10
Energy relative to the lowest polymorph listed for this composition ... 0 meV/atom
DFT formation energy ... 27 meV per atom

***

(26)
A PBEsol-optimized structure of Tl2CuAs2. Source: Alexandria, functional meta-GGA SCAN.

a b c (Å): 6.283 6.283 5.636
angles (deg): 90.00 90.00 90.00
Fractional coordinates of all 10 atoms:
1 Tl 0.188 0.312 0.000
2 Tl 0.312 0.812 0.000
3 Tl 0.688 0.188 0.000
4 Tl 0.812 0.688 0.000
5 Cu 0.000 0.000 0.500
6 Cu 0.500 0.500 0.500
7 As 0.139 0.639 0.500
8 As 0.361 0.139 0.500
9 As 0.639 0.861 0.500
10 As 0.861 0.361 0.500

Results
Crystal system ... tetragonal
Symmetry ... P4/mbm, No. 127
DFT formation energy ... 82 meV per atom

***

(27)
A PBEsol-optimized structure of TlCuAs2. Source: Alexandria, functional meta-GGA SCAN.

a b c (Å): 3.330 3.330 7.177
angles (deg): 90.00 90.00 90.00
Fractional coordinates of all 4 atoms:
1 Tl 0.000 0.000 0.000
2 Cu 0.000 0.000 0.500
3 As 0.500 0.500 0.329
4 As 0.500 0.500 0.671

Results
Crystal system ... tetragonal
Symmetry ... P4/mmm, No. 123
Energy relative to the lowest polymorph listed for this composition ... 158 meV/atom
DFT formation energy ... 185 meV per atom